# 1
Computed, not measured: a relaxed structure of TlPb3O at the PBEsol level of DFT.

Summary:
* density of states at the Fermi level: 1.30 states/eV/cell
* raw formation energy: -0.279 eV per atom
* space group: Pm-3m, No. 221
* crystal system: cubic
* mass density: 11.16 Mg/m³

Structure (extended XYZ):
```
5
Lattice="5.004 0.000 0.000 0.000 5.004 0.000 0.000 0.000 5.004" Properties=species:S:1:pos:R:3 pbc="T T T"
Tl 0.000 0.000 0.000
Pb 0.000 2.502 2.502
Pb 2.502 0.000 2.502
Pb 2.502 2.502 0.000
O 2.502 2.502 2.502
```


# 2
Computed, not measured: a relaxed structure of Tl2Pb3O9 at the PBEsol level of DFT.

Summary:
* density of states at the Fermi level: 3.38 states/eV/cell
* raw formation energy: -0.724 eV per atom
* space group: I-4m2, No. 119
* crystal system: tetragonal
* mass density: 10.06 Mg/m³

Structure (extended XYZ):
```
14
Lattice="-1.885 1.885 13.644 1.885 -1.885 13.644 1.885 1.885 -13.644" Properties=species:S:1:pos:R:3 pbc="T T T"
Tl 0.000 0.000 5.445
Tl 0.000 0.000 21.844
Pb 0.000 0.000 0.000
Pb 0.000 0.000 10.862
Pb 0.000 0.000 16.426
O 1.885 0.000 1.730
O 1.885 0.000 4.537
O 1.885 0.000 9.108
O 1.885 0.000 11.915
O 0.000 1.885 1.058
O 0.000 1.885 3.830
O 0.000 1.885 6.822
O 0.000 1.885 9.814
O 0.000 1.885 12.586
```


Which value of raw formation energy does entry 2 give? -0.724 eV per atom


The highest density of states at the Fermi level belongs to which entry? Tl2Pb3O9